This record from Alexandria describes a relaxed structure of SiAu. The functional is PBE-GGA.

Cell and atoms, written as extended XYZ:
```
12
Lattice="-3.021 1.111 1.644 2.262 -2.167 5.621 4.222 8.909 1.736" Properties=species:S:1:pos:R:3 pbc="T T T"
Si 1.796 3.864 4.661
Si 1.320 0.035 6.373
Si 2.972 5.821 1.525
Si 1.067 -1.022 2.650
Si 1.543 2.807 0.938
Si 4.114 5.930 7.522
Au 2.228 6.133 3.920
Au 4.858 5.618 5.127
Au 0.479 2.444 3.201
Au -1.041 0.106 1.989
Au 3.904 2.737 5.323
Au 2.384 0.398 4.110
```

ΔE_f (raw)   0.13 eV per atom
Space group   Pmmn